Entry 1:
Compound: Y3CoC
Source: Alexandria
Functional: meta-GGA SCAN
Structure: single point on PBEsol structure

Cell: 4.899 4.899 4.899 Å, 90.00 90.00 90.00°
Fractional coordinates of all 5 atoms:
Y1 0.000 0.500 0.000
Y2 0.000 0.000 0.500
Y3 0.500 0.000 0.000
C1 0.500 0.500 0.500
Co1 0.000 0.000 0.000

Output
The value obtained for the density of states at the Fermi level is 3.82 states/eV per cell. The value obtained for the calculated total energy is -21.2107 eV/atom. Its symmetry is Pm-3m. The spin magnetization comes out at 0.00 μB per cell.

Entry 2:
Compound: ZnCo3C
Source: Alexandria
Functional: meta-GGA SCAN
Structure: single point on PBEsol structure

Cell: 3.685 3.685 3.685 Å, 90.00 90.00 90.00°
Site moments in Bohr magnetons follow the coordinates.
Fractional coordinates of all 5 atoms:
Zn1 0.500 0.500 0.500  -0.05
Co1 0.000 0.500 0.000  0.59
Co2 0.000 0.000 0.500  0.59
Co3 0.500 0.000 0.000  0.59
C1 0.000 0.000 0.000  -0.05

Output
The value obtained for the density of states at the Fermi level is 2.59 states/eV per cell. The value obtained for the calculated total energy is -14.9704 eV/atom. Its symmetry is Pm-3m. The spin magnetization comes out at 1.56 μB per cell.

Entry 3:
Compound: ZrCoC2
Source: Alexandria
Functional: meta-GGA SCAN
Structure: single point on PBEsol structure

Cell: 3.822 3.822 3.822 Å, 60.00 60.00 60.00°
Site moments in Bohr magnetons follow the coordinates.
Fractional coordinates of all 4 atoms:
C1 0.250 0.250 0.250  -0.13
C2 0.750 0.750 0.750  -0.13
Co1 0.000 0.000 0.000  1.60
Zr1 0.500 0.500 0.500  0.08

Output
The value obtained for the density of states at the Fermi level is 2.36 states/eV per cell. The value obtained for the calculated total energy is -16.3731 eV/atom. Its symmetry is Fm-3m. The spin magnetization comes out at 1.24 μB per cell.

Entry 4:
Compound: Zr3CoC
Source: Alexandria
Functional: meta-GGA SCAN
Structure: single point on PBEsol structure

Cell: 4.429 4.429 4.429 Å, 90.00 90.00 90.00°
Site moments in Bohr magnetons follow the coordinates.
Fractional coordinates of all 5 atoms:
C1 0.000 0.000 0.000  0.00
Co1 0.500 0.500 0.500  1.87
Zr1 0.000 0.500 0.000  -0.08
Zr2 0.000 0.000 0.500  -0.08
Zr3 0.500 0.000 0.000  -0.08

Output
The value obtained for the density of states at the Fermi level is 3.34 states/eV per cell. The value obtained for the calculated total energy is -24.2007 eV/atom. Its symmetry is Pm-3m. The spin magnetization comes out at 1.49 μB per cell.

Entry 5:
Compound: ZrCo2C
Source: Alexandria
Functional: meta-GGA SCAN
Structure: single point on PBEsol structure

Cell: 4.806 5.073 5.073 Å, 77.04 61.73 61.73°
Fractional coordinates of all 8 atoms:
C1 0.250 0.500 0.500
C2 0.500 0.000 0.000
Co1 0.251 0.874 0.374
Co2 0.499 0.126 0.626
Co3 0.375 0.374 0.126
Co4 0.875 0.626 0.874
Zr1 0.750 0.500 0.500
Zr2 0.000 0.000 0.000

Output
The value obtained for the density of states at the Fermi level is 6.15 states/eV per cell. The value obtained for the calculated total energy is -18.7656 eV/atom. Its symmetry is I-42d. The spin magnetization comes out at 0.00 μB per cell.

Entry 6:
Compound: Cr23C6
Source: Alexandria
Functional: meta-GGA SCAN
Structure: single point on PBEsol structure

Cell: 7.374 7.374 7.374 Å, 60.00 60.00 60.00°
Fractional coordinates of all 29 atoms:
C1 0.276 0.724 0.276
C2 0.724 0.276 0.724
C3 0.276 0.276 0.724
C4 0.724 0.724 0.276
C5 0.724 0.276 0.276
C6 0.276 0.724 0.724
Cr1 0.000 0.000 0.000
Cr2 0.250 0.250 0.250
Cr3 0.750 0.750 0.750
Cr4 0.000 0.340 0.000
Cr5 0.660 0.000 0.340
Cr6 0.340 0.000 0.660
Cr7 0.000 0.660 0.000
Cr8 0.000 0.000 0.340
Cr9 0.340 0.660 0.000
Cr10 0.660 0.340 0.000
Cr11 0.000 0.000 0.660
Cr12 0.340 0.000 0.000
Cr13 0.000 0.340 0.660
Cr14 0.000 0.660 0.340
Cr15 0.660 0.000 0.000
Cr16 0.381 0.381 0.381
Cr17 0.857 0.381 0.381
Cr18 0.381 0.381 0.857
Cr19 0.381 0.857 0.381
Cr20 0.143 0.619 0.619
Cr21 0.619 0.619 0.619
Cr22 0.619 0.619 0.143
Cr23 0.619 0.143 0.619

Output
The value obtained for the density of states at the Fermi level is 19.53 states/eV per cell. The value obtained for the calculated total energy is -16.7267 eV/atom. Its symmetry is Fm-3m. The spin magnetization comes out at 0.00 μB per cell.